No. 1
First-principles (GGA-PBEsol) data for a relaxed ScBe2Rh crystal, as listed in the Alexandria database.

Output
* energy relative to the lowest polymorph listed for this composition: 0.0000 eV/atom

a = 4.099 Å, b = 4.099 Å, c = 4.099 Å
α = 60.00°, β = 60.00°, γ = 60.00°
Atoms (fractional coordinates):
Be: 0.250 0.250 0.250
Sc: 0.500 0.500 0.500
Rh: 0.000 0.000 0.000
Be: 0.750 0.750 0.750

---

No. 2
First-principles (GGA-PBEsol) data for a relaxed ScBe4Rh crystal, as listed in the Alexandria database.

Output
* VASP energy: -5.665 eV/atom

a = 4.466 Å, b = 4.466 Å, c = 4.466 Å
α = 60.00°, β = 60.00°, γ = 60.00°
Atoms (fractional coordinates):
Rh: 0.750 0.750 0.750
Be: 0.377 0.870 0.377
Sc: 0.000 0.000 0.000
Be: 0.870 0.377 0.377
Be: 0.377 0.377 0.377
Be: 0.377 0.377 0.870

---

No. 3
First-principles (GGA-PBEsol) data for a relaxed ScBeRh2 crystal, as listed in the Alexandria database.

Output
* VASP energy: -7.453 eV/atom

a = 2.989 Å, b = 2.989 Å, c = 5.939 Å
α = 90.00°, β = 90.00°, γ = 90.00°
Atoms (fractional coordinates):
Sc: 0.500 0.500 0.000
Rh: 0.000 0.000 0.720
Be: 0.500 0.500 0.500
Rh: 0.000 0.000 0.280

---

No. 4
First-principles (GGA-PBEsol) data for a relaxed ScBe2Rh crystal, as listed in the Alexandria database.

Output
* energy relative to the lowest polymorph listed for this composition: 0.1881 eV/atom

a = 3.618 Å, b = 3.618 Å, c = 3.934 Å
α = 90.00°, β = 90.00°, γ = 90.00°
Atoms (fractional coordinates):
Sc: 0.000 0.000 0.500
Be: 0.000 0.500 0.000
Rh: 0.500 0.500 0.500
Be: 0.500 0.000 0.000

---

No. 5
First-principles (GGA-PBEsol) data for a relaxed ScBe2Rh crystal, as listed in the Alexandria database.

Output
* energy relative to the lowest polymorph listed for this composition: 0.1100 eV/atom

a = 2.922 Å, b = 2.922 Å, c = 6.042 Å
α = 90.00°, β = 90.00°, γ = 90.00°
Atoms (fractional coordinates):
Rh: 0.000 0.000 0.446
Be: 0.000 0.000 0.063
Sc: 0.500 0.500 0.742
Be: 0.500 0.500 0.249

---

No. 6
First-principles (GGA-PBEsol) data for a relaxed ScBeRh2 crystal, as listed in the Alexandria database.

Output
* VASP energy: -7.258 eV/atom

a = 3.041 Å, b = 4.029 Å, c = 5.088 Å
α = 113.32°, β = 107.39°, γ = 90.00°
Atoms (fractional coordinates):
Sc: 0.504 0.504 0.009
Rh: 0.743 0.243 0.486
Be: 0.271 0.771 0.543
Rh: 0.981 0.981 0.963

---

No. 7
First-principles (GGA-PBEsol) data for a relaxed BeRhSe crystal, as listed in the Alexandria database.

Output
* formation energy (no corrections): -35 meV/atom
* energy relative to the lowest polymorph listed for this composition: 0.0000 eV/atom

a = 3.879 Å, b = 3.879 Å, c = 3.879 Å
α = 60.00°, β = 60.00°, γ = 60.00°
Atoms (fractional coordinates):
Be: 0.250 0.250 0.250
Se: 0.500 0.500 0.500
Rh: 0.000 0.000 0.000

---

No. 8
First-principles (GGA-PBEsol) data for a relaxed Be2RhSe crystal, as listed in the Alexandria database.

Output
* formation energy (no corrections): 232 meV/atom

a = 5.389 Å, b = 5.695 Å, c = 5.389 Å
α = 61.76°, β = 90.00°, γ = 118.24°
Atoms (fractional coordinates):
Be: 0.875 0.250 0.625
Rh: 0.000 0.000 0.000
Se: 0.250 0.500 0.250
Be: 0.125 0.750 0.875
Rh: 0.750 0.500 0.750
Be: 0.375 0.250 0.125
Be: 0.625 0.750 0.375
Se: 0.500 0.000 0.500